Below is TcPtRh2 at its PBEsol-relaxed geometry, with properties calculated at the SCAN level.

Results
The relative energy among the computed polymorphs comes out at 32 meV per atom. Its total magnetic moment is 0.0 μB/f.u. The value obtained for the energy of formation from the pure elements is -0.11 eV/atom.

a = 4.6943 Å, b = 4.6943 Å, c = 4.6943 Å
α = 132.35°, β = 132.35°, γ = 69.67°
Closest atoms and distances in Å follow each position.
Sites, in units of the cell vectors:
Tc 0.0000 0.0000 0.0000  8 Rh 2.68-2.70, 4 Pt 2.70
Pt 0.2500 0.7500 0.5000  8 Rh 2.68-2.70, 4 Tc 2.70
Rh 0.5000 0.5000 0.0000  4 Tc 2.68, 4 Rh 2.70, 4 Pt 2.70
Rh 0.7500 0.2500 0.5000  4 Pt 2.68, 4 Tc 2.70, 4 Rh 2.70

Below is TcPtRh2 at its PBEsol-relaxed geometry, with properties calculated at the SCAN level.

Results
The relative energy among the computed polymorphs comes out at 30 meV per atom. Its total magnetic moment is 0.0 μB/f.u. The value obtained for the energy of formation from the pure elements is -0.12 eV/atom.

a = 2.6820 Å, b = 2.6820 Å, c = 7.7221 Å
α = 90.00°, β = 90.00°, γ = 90.00°
Closest atoms and distances in Å follow each position.
Sites, in units of the cell vectors:
Tc 0.0000 0.0000 0.0000  4 Rh 2.65, 4 Tc 2.68, 4 Pt 2.72
Pt 0.5000 0.5000 0.2518  4 Pt 2.68, 4 Tc 2.72, 4 Rh 2.76
Rh 0.0000 0.0000 0.5117  8 Rh 2.68-2.70, 4 Pt 2.76
Rh 0.5000 0.5000 0.7604  4 Tc 2.65, 8 Rh 2.68-2.70

Below is TcPtRh at its PBEsol-relaxed geometry, with properties calculated at the SCAN level.

Results
The relative energy among the computed polymorphs comes out at 0 meV per atom. Its total magnetic moment is 0.0 μB/f.u. The value obtained for the energy of formation from the pure elements is -0.23 eV/atom.

a = 4.6898 Å, b = 4.6898 Å, c = 4.6898 Å
α = 146.60°, β = 131.83°, γ = 59.88°
Closest atoms and distances in Å follow each position.
Sites, in units of the cell vectors:
Tc 0.0000 0.0000 0.0000  5 Rh 2.67-2.79, 5 Pt 2.69-2.71, 2 Tc 2.70
Pt 0.6691 0.6691 0.0000  5 Rh 2.65-2.73, 5 Tc 2.69-2.71, 2 Pt 2.70
Rh 0.3429 0.3429 0.0000  5 Pt 2.65-2.73, 5 Tc 2.67-2.79, 2 Rh 2.70

Copy entry 2 word for word.
Below is TcPtRh2 at its PBEsol-relaxed geometry, with properties calculated at the SCAN level.

Results
The relative energy among the computed polymorphs comes out at 30 meV per atom. Its total magnetic moment is 0.0 μB/f.u. The value obtained for the energy of formation from the pure elements is -0.12 eV/atom.

a = 2.6820 Å, b = 2.6820 Å, c = 7.7221 Å
α = 90.00°, β = 90.00°, γ = 90.00°
Closest atoms and distances in Å follow each position.
Sites, in units of the cell vectors:
Tc 0.0000 0.0000 0.0000  4 Rh 2.65, 4 Tc 2.68, 4 Pt 2.72
Pt 0.5000 0.5000 0.2518  4 Pt 2.68, 4 Tc 2.72, 4 Rh 2.76
Rh 0.0000 0.0000 0.5117  8 Rh 2.68-2.70, 4 Pt 2.76
Rh 0.5000 0.5000 0.7604  4 Tc 2.65, 8 Rh 2.68-2.70

Which of these has the lowest energy of formation from the pure elements?
TcPtRh

The lowest energy of formation from the pure elements belongs to which entry?
TcPtRh